The following is a PBE calculation of a geometry-optimized AlCd2FeC structure, from Alexandria via LeMat-Bulk.

Summary:
Formation energy in eV/atom: 0.90
D(E_F) in states/eV per cell: 6.74
Space group: P4/mmm (123)
Total moment in μB per cell: 2.84

```
5
Lattice="4.789 0.000 0.000 0.000 4.789 0.000 0.000 0.000 3.751" Properties=species:S:1:pos:R:3 pbc="T T T"
Al 0.000 0.000 0.000
Cd 0.000 2.395 1.875
Cd 2.395 0.000 1.875
Fe 2.395 2.395 0.000
C 0.000 0.000 1.875
```

The following is a PBE calculation of a geometry-optimized K2AlCdC structure, from Alexandria via LeMat-Bulk.

Summary:
Formation energy in eV/atom: 1.07
D(E_F) in states/eV per cell: 4.04
Space group: P4/mmm (123)
Total moment in μB per cell: 0.00

```
5
Lattice="6.535 0.000 0.000 0.000 6.535 0.000 0.000 0.000 4.032" Properties=species:S:1:pos:R:3 pbc="T T T"
K 0.000 3.267 0.000
K 3.267 0.000 0.000
Al 0.000 0.000 2.016
Cd 3.267 3.267 0.000
C 3.267 3.267 2.016
```